Entry 1:
This record from Alexandria via LeMat-Bulk describes Ca3BrCl after structural relaxation. The functional is PBEsol.

Structure (POSCAR):
```
Ca3BrCl
1.0
-2.470 0.722 5.016
2.202 -4.873 1.786
4.565 2.742 1.853
Ca Cl Br
3 1 1
direct
0.000 0.000 0.500
0.500 0.000 0.000
0.000 0.500 0.000
0.500 0.500 0.500
0.000 0.000 0.000
```

For the magnetization, the calculation gives 2.51 Bohr magnetons per cell. The calculation puts the formation energy (no corrections) at -2.007 eV/f.u. The density is 2.2 g/cm3. The crystal system is cubic. The value obtained for the density of states at the Fermi level is 1.288 states/eV/atom.

---

Entry 2:
This record from Alexandria via LeMat-Bulk describes LaFeTeO6 after structural relaxation. The functional is PBEsol.

Structure (POSCAR):
```
LaFeTeO6
1.0
-1.507 -3.214 3.648
-1.426 -0.776 -4.824
8.467 -5.760 -1.577
Fe O La Te
2 12 2 2
direct
0.667 0.333 0.750
0.333 0.667 0.250
0.376 0.010 0.853
0.366 0.990 0.353
0.624 0.634 0.353
0.624 0.990 0.147
0.990 0.366 0.853
0.634 0.010 0.647
0.366 0.376 0.147
0.010 0.634 0.147
0.010 0.376 0.353
0.634 0.624 0.853
0.376 0.366 0.647
0.990 0.624 0.647
0.000 0.000 0.000
0.000 0.000 0.500
0.333 0.667 0.750
0.667 0.333 0.250
```

For the magnetization, the calculation gives 2.00 Bohr magnetons per cell. The calculation puts the formation energy (no corrections) at -16.740 eV/f.u. The density is 6.0 g/cm3. The crystal system is trigonal. The value obtained for the density of states at the Fermi level is 0.730 states/eV/atom.

---

Entry 3:
This record from Alexandria via LeMat-Bulk describes FeTcPb2 after structural relaxation. The functional is PBEsol.

Structure (POSCAR):
```
FeTcPb2
1.0
-1.321 2.797 0.278
-0.439 -0.508 3.033
7.405 3.335 1.632
Tc Fe Pb
1 1 2
direct
0.000 0.000 0.559
0.500 0.500 0.700
0.000 0.000 0.931
0.500 0.500 0.311
```

For the magnetization, the calculation gives 2.19 Bohr magnetons per cell. The energy above the most stable polymorph in this dataset is 0.0 kJ per mole of atoms. As for the calculated formation energy: 0.368 eV per atom. The density is 11.8 g/cm3. The crystal system is tetragonal. The value obtained for the density of states at the Fermi level is 0.825 states/eV/atom.

---

Entry 4:
This record from Alexandria via LeMat-Bulk describes Na2ErMoPO8 after structural relaxation. The functional is PBEsol.

Structure (POSCAR):
```
Na2ErMoPO8
1.0
-3.500 2.831 -5.116
-8.035 -7.327 -3.096
-10.433 2.151 3.789
O Na Er Mo P
32 8 4 4 4
direct
0.309 0.441 0.421
0.267 0.140 0.399
0.691 0.559 0.579
0.092 0.848 0.392
0.832 0.652 0.108
0.420 0.859 0.155
0.233 0.601 0.860
0.809 0.421 0.441
0.408 0.608 0.152
0.566 0.655 0.359
0.672 0.059 0.079
0.328 0.941 0.921
0.828 0.921 0.941
0.080 0.845 0.141
0.908 0.152 0.608
0.920 0.155 0.859
0.767 0.399 0.140
0.592 0.392 0.848
0.434 0.345 0.641
0.307 0.360 0.101
0.580 0.141 0.845
0.191 0.579 0.559
0.807 0.101 0.360
0.668 0.892 0.348
0.168 0.348 0.892
0.193 0.899 0.640
0.066 0.359 0.655
0.332 0.108 0.652
0.172 0.079 0.059
0.934 0.641 0.345
0.733 0.860 0.601
0.693 0.640 0.899
0.663 0.902 0.790
0.646 0.290 0.402
0.854 0.598 0.710
0.337 0.098 0.210
0.163 0.790 0.902
0.837 0.210 0.098
0.146 0.402 0.290
0.354 0.710 0.598
0.250 0.680 0.320
0.750 0.320 0.680
0.250 0.180 0.820
0.750 0.820 0.180
0.824 0.926 0.426
0.324 0.426 0.926
0.676 0.574 0.074
0.176 0.074 0.574
0.250 0.933 0.067
0.750 0.067 0.933
0.750 0.567 0.433
0.250 0.433 0.567
```

For the magnetization, the calculation gives 0.00 Bohr magnetons per cell. The calculation puts the formation energy (no corrections) at -32.895 eV/f.u. The density is 4.3 g/cm3. The crystal system is orthorhombic. The value obtained for the density of states at the Fermi level is 0.000 states/eV/atom.

---

Entry 5:
This record from Alexandria via LeMat-Bulk describes YReCl3 after structural relaxation. The functional is PBEsol.

Structure (POSCAR):
```
YReCl3
1.0
4.686 0.000 0.000
0.000 4.686 0.000
0.000 0.000 4.686
Re Cl Y
1 3 1
direct
0.000 0.000 0.000
0.500 0.000 0.000
0.000 0.500 0.000
0.000 0.000 0.500
0.500 0.500 0.500
```

For the magnetization, the calculation gives 0.00 Bohr magnetons per cell. The calculation puts the formation energy (no corrections) at 0.483 eV/f.u. The density is 6.2 g/cm3. The crystal system is cubic. The value obtained for the density of states at the Fermi level is 0.944 states/eV/atom.

---

Entry 6:
This record from Alexandria via LeMat-Bulk describes CrOs2Pt after structural relaxation. The functional is PBEsol.

Structure (POSCAR):
```
CrOs2Pt
1.0
4.277 0.000 0.000
2.139 3.704 0.000
2.139 1.235 3.492
Os Pt Cr
2 1 1
direct
0.750 0.750 0.750
0.250 0.250 0.250
0.500 0.500 0.500
0.000 0.000 0.000
```

For the magnetization, the calculation gives 0.00 Bohr magnetons per cell. As for the calculated formation energy: 0.490 eV per atom. The density is 18.8 g/cm3. The crystal system is cubic. The value obtained for the density of states at the Fermi level is 0.723 states/eV/atom.